Here is a geometry-optimized La6TbNd2Tm structure from Alexandria. Energies are from GGA-PBE.

Summary:
The value obtained for the uncorrected energy is -47.075 eV/f.u. Its density of states at the Fermi level is 12.43 states/eV/f.u. The energy relative to the elements comes out at 113 meV per atom.

Lattice parameters (Å, degrees): 9.144 9.144 9.294 90.13 90.13 114.46
Element x y z (fractional)
La 0.034 0.470 0.681
La 0.071 0.781 0.906
La 0.219 0.929 0.594
La 0.277 0.575 0.092
La 0.425 0.723 0.408
La 0.470 0.034 0.181
La 0.530 0.966 0.819
La 0.575 0.277 0.592
La 0.723 0.425 0.908
La 0.781 0.071 0.406
La 0.929 0.219 0.094
La 0.966 0.530 0.319
Tb 0.433 0.567 0.750
Tb 0.567 0.433 0.250
Nd 0.205 0.294 0.437
Nd 0.294 0.205 0.937
Nd 0.706 0.795 0.063
Nd 0.795 0.706 0.563
Tm 0.068 0.932 0.250
Tm 0.932 0.068 0.750



Here is a geometry-optimized La2Tb2Nd4Tm structure from Alexandria. Energies are from GGA-PBE.

Summary:
The value obtained for the uncorrected energy is -42.573 eV/f.u. Its density of states at the Fermi level is 12.38 states/eV/f.u. The energy relative to the elements comes out at 9 meV per atom.

Lattice parameters (Å, degrees): 9.706 9.706 9.769 115.07 115.07 21.91
Element x y z (fractional)
La 0.165 0.165 0.498
La 0.835 0.835 0.502
Tb 0.353 0.353 0.834
Tb 0.647 0.647 0.166
Nd 0.019 0.019 0.834
Nd 0.314 0.314 0.166
Nd 0.686 0.686 0.834
Nd 0.981 0.981 0.166
Tm 0.500 0.500 0.500



Here is a geometry-optimized LaTbNdTm structure from Alexandria. Energies are from GGA-PBE.

Summary:
The value obtained for the uncorrected energy is -18.402 eV/f.u. Its density of states at the Fermi level is 6.77 states/eV/f.u. The energy relative to the elements comes out at 99 meV per atom.

Lattice parameters (Å, degrees): 6.925 6.925 3.817 105.48 105.48 50.64
Element x y z (fractional)
La 0.000 0.000 0.000
Tb 0.257 0.257 0.693
Nd 0.733 0.733 0.157
Tm 0.493 0.493 0.455



Here is a geometry-optimized La2Tb2NdTm2 structure from Alexandria. Energies are from GGA-PBE.

Summary:
The value obtained for the uncorrected energy is -32.608 eV/f.u. Its density of states at the Fermi level is 11.36 states/eV/f.u. The energy relative to the elements comes out at 31 meV per atom.

Lattice parameters (Å, degrees): 6.253 6.253 8.099 97.47 97.47 48.18
Element x y z (fractional)
La 0.143 0.143 0.428
La 0.857 0.857 0.572
Tb 0.429 0.429 0.281
Tb 0.571 0.571 0.719
Nd 0.000 0.000 0.000
Tm 0.284 0.284 0.862
Tm 0.716 0.716 0.138



Here is a geometry-optimized La2TbNd2Tm structure from Alexandria. Energies are from GGA-PBE.

Summary:
The value obtained for the uncorrected energy is -28.160 eV/f.u. Its density of states at the Fermi level is 8.94 states/eV/f.u. The energy relative to the elements comes out at 55 meV per atom.

Lattice parameters (Å, degrees): 7.128 5.758 10.003 90.00 90.00 90.00
Element x y z (fractional)
La 0.000 0.000 0.000
La 0.250 0.500 0.176
La 0.500 0.000 0.000
La 0.750 0.500 0.824
Tb 0.000 0.500 0.500
Tb 0.500 0.500 0.500
Nd 0.250 0.000 0.332
Nd 0.250 0.500 0.835
Nd 0.750 0.000 0.668
Nd 0.750 0.500 0.165
Tm 0.250 0.000 0.658
Tm 0.750 0.000 0.342



Here is a geometry-optimized La3Tb2NdTm6 structure from Alexandria. Energies are from GGA-PBE.

Summary:
The value obtained for the uncorrected energy is -55.381 eV/f.u. Its density of states at the Fermi level is 14.30 states/eV/f.u. The energy relative to the elements comes out at 22 meV per atom.

Lattice parameters (Å, degrees): 6.218 6.218 11.747 95.05 95.05 119.98
Element x y z (fractional)
La 0.000 0.000 0.000
La 0.333 0.667 0.000
La 0.667 0.333 0.000
Tb 0.167 0.833 0.500
Tb 0.833 0.167 0.500
Nd 0.500 0.500 0.500
Tm 0.084 0.418 0.254
Tm 0.248 0.248 0.746
Tm 0.418 0.084 0.254
Tm 0.582 0.916 0.746
Tm 0.752 0.752 0.254
Tm 0.916 0.582 0.746



Here is a geometry-optimized La3Tb6NdTm2 structure from Alexandria. Energies are from GGA-PBE.

Summary:
The value obtained for the uncorrected energy is -56.017 eV/f.u. Its density of states at the Fermi level is 16.93 states/eV/f.u. The energy relative to the elements comes out at 21 meV per atom.

Lattice parameters (Å, degrees): 6.245 6.245 11.946 95.00 95.00 120.01
Element x y z (fractional)
La 0.000 0.000 0.000
La 0.333 0.667 0.000
La 0.667 0.333 0.000
Tb 0.084 0.419 0.255
Tb 0.247 0.247 0.745
Tb 0.419 0.084 0.255
Tb 0.581 0.916 0.745
Tb 0.753 0.753 0.255
Tb 0.916 0.581 0.745
Nd 0.500 0.500 0.500
Tm 0.167 0.833 0.500
Tm 0.833 0.167 0.500



Here is a geometry-optimized LaTb2Nd2Tm structure from Alexandria. Energies are from GGA-PBE.

Summary:
The value obtained for the uncorrected energy is -27.810 eV/f.u. Its density of states at the Fermi level is 9.10 states/eV/f.u. The energy relative to the elements comes out at 64 meV per atom.

Lattice parameters (Å, degrees): 7.084 5.721 9.925 90.00 90.00 90.00
Element x y z (fractional)
La 0.250 0.000 0.153
La 0.750 0.000 0.847
Tb 0.250 0.000 0.827
Tb 0.250 0.500 0.339
Tb 0.750 0.000 0.173
Tb 0.750 0.500 0.661
Nd 0.000 0.000 0.500
Nd 0.250 0.500 0.679
Nd 0.500 0.000 0.500
Nd 0.750 0.500 0.321
Tm 0.000 0.500 0.000
Tm 0.500 0.500 0.000